5
Lattice="5.138 0.000 0.000 0.000 5.138 0.000 0.000 0.000 5.138" Properties=species:S:1:pos:R:3 comment="Hf3PtPb (PBEsol, relaxed)" total_magnetization_mub_per_atom=0.000 rho_g_cm3=11.48 formation_enthalpy_0k_ev_per_atom=1.59 space_group="Pm-3m, No. 221" pbc="T T T"
Pb 0.000 0.000 0.000
Hf 0.000 2.569 0.000
Hf 0.000 0.000 2.569
Hf 2.569 0.000 0.000
Pt 2.569 2.569 2.569